Entry 1:
This record from Alexandria describes Rb2AuCl6F after structural relaxation. The functional is PBE-GGA.

a b c (Å): 7.6066 7.6066 7.0431
angles (deg): 57.32 57.32 90.00
Fractional coordinates of all 10 atoms:
F: 0.5000 0.5000 0.0000
Au: 0.0000 0.0000 0.0000
Rb: 0.7500 0.2500 0.5000
Rb: 0.2500 0.7500 0.5000
Cl: 0.2683 0.2683 0.4634
Cl: 0.7317 0.7317 0.5366
Cl: 0.2220 0.2220 0.0000
Cl: 0.7780 0.7780 0.0000
Cl: 0.7780 0.2220 0.0000
Cl: 0.2220 0.7780 0.0000

Results
SG: No. 139
Volume, Å³ per atom: 26.31

---

Entry 2:
This record from Alexandria describes Ac4ZnGa3 after structural relaxation. The functional is PBE-GGA.

a b c (Å): 4.7431 4.3828 11.8522
angles (deg): 90.00 90.00 90.00
Fractional coordinates of all 8 atoms:
Ac: 0.5000 0.5000 0.3585
Ac: 0.0000 0.5000 0.8575
Ac: 0.0000 0.0000 0.1430
Ac: 0.5000 0.0000 0.6427
Zn: 0.5000 0.5000 0.0626
Ga: 0.0000 0.5000 0.5669
Ga: 0.0000 0.0000 0.4339
Ga: 0.5000 0.0000 0.9348

Results
Calculated formation energy, meV per atom: -432
SG: No. 25
Volume, Å³ per atom: 30.80

---

Entry 3:
This record from Alexandria describes Li6ZnAg12 after structural relaxation. The functional is PBE-GGA.

a b c (Å): 6.8705 6.8705 6.8705
angles (deg): 89.73 89.73 89.73
Fractional coordinates of all 19 atoms:
Li: 0.7234 0.8865 0.2715
Li: 0.7285 0.2766 0.1135
Li: 0.1135 0.7285 0.2766
Li: 0.2766 0.1135 0.7285
Li: 0.2715 0.7234 0.8865
Li: 0.8865 0.2715 0.7234
Zn: 0.0000 0.0000 0.0000
Ag: 0.8022 0.5294 0.4378
Ag: 0.4378 0.8022 0.5294
Ag: 0.5294 0.4378 0.8022
Ag: 0.1978 0.4706 0.5622
Ag: 0.5622 0.1978 0.4706
Ag: 0.4706 0.5622 0.1978
Ag: 0.0204 0.1545 0.3642
Ag: 0.8455 0.6358 0.9796
Ag: 0.6358 0.9796 0.8455
Ag: 0.9796 0.8455 0.6358
Ag: 0.1545 0.3642 0.0204
Ag: 0.3642 0.0204 0.1545

Results
Calculated formation energy, meV per atom: -96
SG: No. 148
Volume, Å³ per atom: 17.07

---

Entry 4:
This record from Alexandria describes In5Hg6Pb after structural relaxation. The functional is PBE-GGA.

a b c (Å): 5.7146 7.5583 7.5588
angles (deg): 84.37 95.08 95.09
Fractional coordinates of all 12 atoms:
Pb: 0.0000 0.0000 0.0000
Hg: 0.2445 0.0831 0.4205
Hg: 0.7559 0.5798 0.9164
Hg: 0.7329 0.2503 0.2507
Hg: 0.2671 0.7497 0.7493
Hg: 0.2441 0.4202 0.0836
Hg: 0.7555 0.9169 0.5795
In: 0.5000 0.1725 0.8288
In: 0.9999 0.3376 0.6624
In: 0.5000 0.5000 0.5000
In: 0.0001 0.6624 0.3376
In: 0.5000 0.8275 0.1712

Results
Calculated formation energy, meV per atom: 20
Excess energy over the best structure of this formula in the dataset, kJ/mol of atoms: 0.8
SG: No. 2
Volume, Å³ per atom: 26.88

---

Entry 5:
This record from Alexandria describes GdZrTc after structural relaxation. The functional is PBE-GGA.

a b c (Å): 3.3967 3.3967 6.3601
angles (deg): 105.49 105.49 90.00
Each line ends with the local moment (μB).
Fractional coordinates of all 3 atoms:
Gd: 0.0224 0.0224 0.0448  7.10
Tc: 0.6805 0.6805 0.3610  -0.11
Zr: 0.2971 0.2971 0.5942  0.09

Results
Calculated formation energy, meV per atom: -101
SG: No. 107
Volume, Å³ per atom: 22.65

---

Entry 6:
This record from Alexandria describes La3Mg after structural relaxation. The functional is PBE-GGA.

a b c (Å): 5.1237 5.1237 5.1237
angles (deg): 90.00 90.00 90.00
Fractional coordinates of all 4 atoms:
Mg: 0.0000 0.0000 0.0000
La: 0.0000 0.5000 0.5000
La: 0.5000 0.0000 0.5000
La: 0.5000 0.5000 0.0000

Results
Calculated formation energy, meV per atom: -20
SG: No. 221
Volume, Å³ per atom: 33.63

---

Entry 7:
This record from Alexandria describes HfAgSn2 after structural relaxation. The functional is PBE-GGA.

a b c (Å): 4.1294 4.5664 4.5664
angles (deg): 90.00 90.00 90.00
Fractional coordinates of all 4 atoms:
Hf: 0.5000 0.5000 0.5000
Sn: 0.0000 0.0000 0.5000
Sn: 0.0000 0.5000 0.0000
Ag: 0.5000 0.0000 0.0000

Results
Calculated formation energy, meV per atom: -94
Excess energy over the best structure of this formula in the dataset, kJ/mol of atoms: 0.0
SG: No. 123
Volume, Å³ per atom: 21.53

---

Entry 8:
This record from Alexandria describes PmNbTcRu after structural relaxation. The functional is PBE-GGA.

a b c (Å): 4.6980 4.6980 4.6980
angles (deg): 60.00 60.00 60.00
Fractional coordinates of all 4 atoms:
Ru: 0.0000 0.0000 0.0000
Nb: 0.2500 0.2500 0.2500
Tc: 0.5000 0.5000 0.5000
Pm: 0.7500 0.7500 0.7500

Results
Calculated formation energy, meV per atom: -3
SG: No. 216
Volume, Å³ per atom: 18.33

---

Looking at magnetization for the records above, in order, we have 0.0, 0.0, 0.0, 0.0, 7.3, 0.0, 0.0, 0.0 μB/f.u..
Looking at calculated total energy for the records above, in order, we have -0.101, -0.139, -0.094, -0.058, -0.408, -0.151, -0.195, -0.317 hartree per atom.